1.
First-principles (PBE-GGA) data for a geometry-optimized Th2FeSi3 structure, as listed in the Alexandria database.

## Properties
The value obtained for the energy above the lowest structure with this stoichiometry is 0.270 eV/f.u. The calculation puts the density of states at the Fermi level at 4.1 states/eV/cell. Its crystal system is orthorhombic. As for the formation energy without anion corrections: -670 meV per atom.

extended XYZ file:
```
6
Lattice="4.106 0.000 0.000 0.000 4.146 0.000 0.000 0.000 7.017" Properties=species:S:1:pos:R:3 pbc="T T T"
Si 2.053 0.000 1.253
Th 0.000 0.000 3.483
Fe 2.053 2.073 2.289
Si 2.053 2.073 4.582
Th 0.000 2.073 0.082
Si 2.053 0.000 5.852
```

2.
First-principles (PBE-GGA) data for a geometry-optimized ThFe9Si4 structure, as listed in the Alexandria database.

## Properties
The calculation puts the density of states at the Fermi level at 26.3 states/eV/cell. Its crystal system is tetragonal. As for the formation energy without anion corrections: -428 meV per atom.

extended XYZ file:
```
28
Lattice="6.799 0.000 -3.834 -2.162 6.446 -3.834 0.018 0.026 7.979" Properties=species:S:1:pos:R:3 pbc="T T T"
Fe -1.370 5.199 -0.431
Fe 5.294 0.437 -3.328
Fe -0.657 6.009 -4.340
Si 2.216 4.591 1.227
Si 1.329 0.337 5.060
Fe 3.212 1.935 -3.328
Fe 6.026 1.273 0.742
Fe 1.002 6.118 -0.223
Si 3.327 6.135 -4.749
Si 5.494 2.912 -3.445
Fe 0.029 1.288 -1.026
Fe -0.165 4.496 1.707
Fe 1.426 4.511 -4.340
Fe 3.771 2.895 0.742
Fe 1.107 2.786 -2.808
Si -0.838 3.560 3.756
Fe 3.654 0.354 0.534
Th 3.487 4.848 -1.761
Fe 3.400 0.000 -1.917
Si 2.440 1.881 -0.916
Fe -1.081 3.223 -1.917
Si 4.383 1.367 2.531
Fe 3.530 3.660 -4.860
Th 1.169 1.624 2.072
Fe 4.608 5.159 -6.642
Si 0.273 5.104 -2.220
Fe 0.885 3.577 -0.431
Fe 4.821 1.976 -1.395
```

3.
First-principles (PBE-GGA) data for a geometry-optimized ThFeSi structure, as listed in the Alexandria database.

## Properties
The calculation puts the density of states at the Fermi level at 2.6 states/eV/cell. Its crystal system is hexagonal. As for the formation energy without anion corrections: -494 meV per atom.

extended XYZ file:
```
3
Lattice="-2.223 -2.374 -2.399 3.161 -0.317 -2.615 -0.413 -2.713 3.066" Properties=species:S:1:pos:R:3 pbc="T T T"
Fe 0.408 -2.310 0.772
Th 0.488 -2.698 -2.321
Si -0.370 -0.395 -0.400
```

Number 1: final energy -7.26 eV/atom. Number 2: final energy -7.95 eV/atom. Number 3: final energy -7.60 eV/atom.